VASP calculation (GGA-PBE) on crystalline MgZr2Zn6 at its relaxed geometry. Values from VASP.

- DOS(E_F): 5.31 states/eV per cell
- Energy above the lowest structure with this stoichiometry: 0.00 eV per formula unit
- Formation energy: -230 meV per atom

Structure (Quantum ESPRESSO input):
```
&SYSTEM
  ibrav = 0, nat = 9, ntyp = 3
/
ATOMIC_SPECIES
Mg 24.30 Mg.upf
Zr 91.22 Zr.upf
Zn 65.41 Zn.upf
CELL_PARAMETERS angstrom
7.5952 0.0000 0.0000
-3.7976 6.5777 0.0000
0.0000 0.0000 3.1247
ATOMIC_POSITIONS crystal
Mg 0.0000 0.0000 0.0000
Zr 0.3333 0.6667 0.0000
Zr 0.6667 0.3333 0.0000
Zn 0.0000 0.3338 0.5000
Zn 0.0000 0.6662 0.5000
Zn 0.3338 0.0000 0.5000
Zn 0.3338 0.3338 0.5000
Zn 0.6662 0.0000 0.5000
Zn 0.6662 0.6662 0.5000
```

---

VASP calculation (GGA-PBE) on crystalline MgZrZn17 at its relaxed geometry. Values from VASP.

- DOS(E_F): 4.83 states/eV per cell
- Formation energy: -77 meV per atom

Structure (Quantum ESPRESSO input):
```
&SYSTEM
  ibrav = 0, nat = 19, ntyp = 3
/
ATOMIC_SPECIES
Mg 24.30 Mg.upf
Zr 91.22 Zr.upf
Zn 65.41 Zn.upf
CELL_PARAMETERS angstrom
4.4208 2.5524 4.3903
-4.4208 2.5524 4.3903
0.0000 -5.1047 4.3903
ATOMIC_POSITIONS crystal
Mg 0.0000 0.0000 0.0000
Zr 0.7024 0.7024 0.7024
Zn 0.0129 0.0129 0.5380
Zn 0.0129 0.5380 0.0129
Zn 0.0638 0.3658 0.6784
Zn 0.0638 0.6784 0.3658
Zn 0.2137 0.7162 0.7162
Zn 0.2654 0.2654 0.2654
Zn 0.3658 0.0638 0.6784
Zn 0.3658 0.6784 0.0638
Zn 0.3719 0.3719 0.8717
Zn 0.3719 0.8717 0.3719
Zn 0.4691 0.4691 0.4691
Zn 0.5380 0.0129 0.0129
Zn 0.6784 0.0638 0.3658
Zn 0.6784 0.3658 0.0638
Zn 0.7162 0.2137 0.7162
Zn 0.7162 0.7162 0.2137
Zn 0.8717 0.3719 0.3719
```

---

VASP calculation (GGA-PBE) on crystalline MgZrZn3 at its relaxed geometry. Values from VASP.

- DOS(E_F): 4.05 states/eV per cell
- Energy above the lowest structure with this stoichiometry: 5.30 eV per formula unit
- Formation energy: 854 meV per atom

Structure (Quantum ESPRESSO input):
```
&SYSTEM
  ibrav = 0, nat = 5, ntyp = 3
/
ATOMIC_SPECIES
Mg 24.30 Mg.upf
Zr 91.22 Zr.upf
Zn 65.41 Zn.upf
CELL_PARAMETERS angstrom
5.2271 0.0000 0.0000
0.0000 5.2271 0.0000
0.0000 0.0000 5.2271
ATOMIC_POSITIONS crystal
Mg 0.0000 0.0000 0.0000
Zr 0.5000 0.5000 0.5000
Zn 0.0000 0.5000 0.5000
Zn 0.5000 0.0000 0.5000
Zn 0.5000 0.5000 0.0000
```

---

VASP calculation (GGA-PBE) on crystalline Mg2ZrZn at its relaxed geometry. Values from VASP.

- DOS(E_F): 4.20 states/eV per cell
- Formation energy: 55 meV per atom

Structure (Quantum ESPRESSO input):
```
&SYSTEM
  ibrav = 0, nat = 4, ntyp = 3
/
ATOMIC_SPECIES
Mg 24.30 Mg.upf
Zr 91.22 Zr.upf
Zn 65.41 Zn.upf
CELL_PARAMETERS angstrom
1.5474 0.8934 9.9734
-1.5474 0.8934 9.9734
0.0000 -1.7868 9.9734
ATOMIC_POSITIONS crystal
Mg 0.2434 0.2434 0.2434
Mg 0.7566 0.7566 0.7566
Zr 0.0000 0.0000 0.0000
Zn 0.5000 0.5000 0.5000
```

---

no.,volume (Å³/atom),M_tot (μB per formula unit)
1,17.3,0.0
2,15.6,0.0
3,28.6,1.5
4,20.7,0.0